VASP calculation (PBE) on a relaxed ReNiBP crystal.

Calculated values
Energy of formation   -41 kJ/mol of formula units
E above lowest polymorph   66 meV per atom
M_tot   0.00 Bohr magnetons per cell
Total DFT energy (no corrections)   -30.74 eV/cell

Unit cell a=2.883 b=6.130 c=6.130 alpha=27.32 beta=90.00 gamma=90.00
Positions (direct):
Re1 0.000 0.000 0.000
Ni1 0.500 0.800 0.800
B1 0.500 0.429 0.429
P1 0.500 0.161 0.161



VASP calculation (PBE) on a relaxed TlZn11 crystal.

Calculated values
Energy of formation   39 kJ/mol of formula units
M_tot   0.00 Bohr magnetons per cell
Total DFT energy (no corrections)   -31.95 eV/cell

Unit cell a=8.412 b=8.412 c=8.412 alpha=99.72 beta=99.72 gamma=131.48
Positions (direct):
Tl1 0.375 0.625 0.750
Tl2 0.625 0.375 0.250
Zn1 0.000 0.000 0.000
Zn2 0.000 0.000 0.500
Zn3 0.000 0.500 0.000
Zn4 0.125 0.875 0.250
Zn5 0.138 0.559 0.335
Zn6 0.138 0.803 0.579
Zn7 0.197 0.276 0.335
Zn8 0.197 0.862 0.921
Zn9 0.276 0.197 0.835
Zn10 0.276 0.441 0.079
Zn11 0.441 0.276 0.579
Zn12 0.441 0.862 0.165
Zn13 0.500 0.000 0.500
Zn14 0.559 0.138 0.835
Zn15 0.559 0.724 0.421
Zn16 0.724 0.559 0.921
Zn17 0.724 0.803 0.165
Zn18 0.803 0.138 0.079
Zn19 0.803 0.724 0.665
Zn20 0.862 0.197 0.421
Zn21 0.862 0.441 0.665
Zn22 0.875 0.125 0.750



VASP calculation (PBE) on a relaxed DyYSc2Tl4 crystal.

Calculated values
Energy of formation   -230 kJ/mol of formula units
M_tot   0.00 Bohr magnetons per cell
Total DFT energy (no corrections)   -35.57 eV/cell

Unit cell a=9.083 b=9.083 c=9.083 alpha=33.52 beta=33.52 gamma=33.52
Positions (direct):
Dy1 0.000 0.000 0.000
Y1 0.500 0.500 0.500
Sc1 0.250 0.250 0.250
Sc2 0.750 0.750 0.750
Tl1 0.125 0.125 0.125
Tl2 0.375 0.375 0.375
Tl3 0.625 0.625 0.625
Tl4 0.875 0.875 0.875



- What is the energy of formation in the third record?
  -230 kJ/mol of formula units